BeSiTe2I | Alexandria via LeMat-Bulk | PBE | optimized geometry; ΔE to the lowest computed polymorph = 0 meV/atom; raw total energy = -14.008 eV per cell; formation energy without anion corrections = 0.595 eV/atom; M_tot = 0.00 μB per cell
1.0
5.050 0.000 0.000
0.000 5.050 0.000
0.000 0.000 5.085
Te Si Be I
2 1 1 1
Cartesian
2.525 0.000 0.000
0.000 2.525 0.000
2.525 2.525 2.542
0.000 0.000 0.000
0.000 0.000 2.542

Ba2HPb | Alexandria via LeMat-Bulk | PBE | optimized geometry; ΔE to the lowest computed polymorph = 169 meV/atom; raw total energy = -12.059 eV per cell; M_tot = 0.00 μB per cell
1.0
-3.639 -1.323 -0.052
0.503 -1.243 -3.633
2.703 -7.546 2.956
Pb Ba H
1 2 1
Cartesian
-0.216 -5.056 -0.365
2.090 -5.835 2.285
0.613 -1.711 0.670
-1.568 -1.283 -1.842